{"formula": "CoOsRh2", "functional": "PBE", "state": "relaxed", "magnetic_moment_mub_per_cell": 2.40, "delta_e_f_ev_per_fu": 1.6, "polymorph_energy_mev_per_atom": 316, "lattice": [[-2.899, 2.154, 2.277], [-1.447, -1.607, 3.682], [1.111, 1.812, 3.703]], "species": ["Rh", "Rh", "Co", "Os"], "fractional_positions": [[0.250, 0.250, 0.250], [0.000, 0.000, 0.000], [0.500, 0.500, 0.500], [0.750, 0.750, 0.750]]}